No. 1
# TlHg3Se | Alexandria via LeMat-Bulk | PBE-GGA | relaxed
data_TlHg3Se
_cell_length_a 5.562
_cell_length_b 5.562
_cell_length_c 5.562
_cell_angle_alpha 90.00
_cell_angle_beta 90.00
_cell_angle_gamma 90.00
_symmetry_space_group_name_H-M 'P m -3 m'
_symmetry_Int_Tables_number 221
_symmetry_space_group_name_Hall '-P 4 2 3'
loop_
_atom_site_label
_atom_site_type_symbol
_atom_site_fract_x
_atom_site_fract_y
_atom_site_fract_z
_atom_site_occupancy
Tl1 Tl 0.000 0.000 0.000 1
Hg1 Hg 0.000 0.500 0.500 1
Se1 Se 0.500 0.500 0.500 1
# - Energy relative to the elements, uncorrected: 4.72 kcal/mol of atoms
# - Theoretical density: 8.54 g cm⁻³

***

No. 2
# ScNiBr2 | Alexandria via LeMat-Bulk | PBE-GGA | relaxed
data_ScNiBr2
_cell_length_a 6.883
_cell_length_b 6.883
_cell_length_c 6.883
_cell_angle_alpha 90.00
_cell_angle_beta 90.00
_cell_angle_gamma 90.00
_symmetry_space_group_name_H-M 'F -4 3 m'
_symmetry_Int_Tables_number 216
_symmetry_space_group_name_Hall 'F -4 2 3'
loop_
_atom_site_label
_atom_site_type_symbol
_atom_site_fract_x
_atom_site_fract_y
_atom_site_fract_z
_atom_site_occupancy
Sc1 Sc 0.000 0.000 0.000 1
Ni1 Ni 0.250 0.250 0.750 1
Br1 Br 0.000 0.000 0.500 1
Br2 Br 0.250 0.250 0.250 1
# - Energy relative to the elements, uncorrected: -0.63 kcal/mol of atoms
# - Theoretical density: 5.37 g cm⁻³

***

No. 3
# RbTaCd | Alexandria via LeMat-Bulk | PBE-GGA | relaxed
data_RbTaCd
_cell_length_a 8.055
_cell_length_b 4.730
_cell_length_c 9.717
_cell_angle_alpha 90.00
_cell_angle_beta 90.00
_cell_angle_gamma 90.00
_symmetry_space_group_name_H-M 'P n m a'
_symmetry_Int_Tables_number 62
_symmetry_space_group_name_Hall '-P 2ac 2n'
loop_
_atom_site_label
_atom_site_type_symbol
_atom_site_fract_x
_atom_site_fract_y
_atom_site_fract_z
_atom_site_occupancy
Rb1 Rb 0.052 0.250 0.131 1
Ta1 Ta 0.055 0.250 0.530 1
Cd1 Cd 0.239 0.750 0.308 1
# - E_form: 2.7 eV per formula unit
# - Theoretical density: 6.80 g cm⁻³

***

No. 4
# TiInAg | Alexandria via LeMat-Bulk | PBE-GGA | relaxed
data_TiInAg
_cell_length_a 5.986
_cell_length_b 4.283
_cell_length_c 8.965
_cell_angle_alpha 90.00
_cell_angle_beta 90.00
_cell_angle_gamma 90.00
_symmetry_space_group_name_H-M 'P n m a'
_symmetry_Int_Tables_number 62
_symmetry_space_group_name_Hall '-P 2ac 2n'
loop_
_atom_site_label
_atom_site_type_symbol
_atom_site_fract_x
_atom_site_fract_y
_atom_site_fract_z
_atom_site_occupancy
Ti1 Ti 0.113 0.250 0.073 1
In1 In 0.133 0.250 0.409 1
Ag1 Ag 0.115 0.250 0.747 1
# - E_form: 0.0 eV per formula unit
# - Theoretical density: 7.82 g cm⁻³

***

No. 5
# CaTaBS2 | Alexandria via LeMat-Bulk | PBE-GGA | relaxed
data_CaTaBS2
_cell_length_a 4.678
_cell_length_b 4.678
_cell_length_c 6.442
_cell_angle_alpha 90.00
_cell_angle_beta 90.00
_cell_angle_gamma 90.00
_symmetry_space_group_name_H-M 'P 4/m m m'
_symmetry_Int_Tables_number 123
_symmetry_space_group_name_Hall '-P 4 2'
loop_
_atom_site_label
_atom_site_type_symbol
_atom_site_fract_x
_atom_site_fract_y
_atom_site_fract_z
_atom_site_occupancy
Ca1 Ca 0.000 0.000 0.000 1
Ta1 Ta 0.000 0.000 0.500 1
B1 B 0.500 0.500 0.000 1
S1 S 0.000 0.500 0.500 1
# - Energy relative to the elements, uncorrected: 15.18 kcal/mol of atoms
# - Theoretical density: 3.49 g cm⁻³

***

No. 6
# B4C | Alexandria via LeMat-Bulk | PBE-GGA | relaxed
data_B4C
_cell_length_a 6.077
_cell_length_b 2.838
_cell_length_c 4.767
_cell_angle_alpha 90.00
_cell_angle_beta 126.97
_cell_angle_gamma 90.00
_symmetry_space_group_name_H-M 'C 1 m 1'
_symmetry_Int_Tables_number 8
_symmetry_space_group_name_Hall 'C -2y'
loop_
_atom_site_label
_atom_site_type_symbol
_atom_site_fract_x
_atom_site_fract_y
_atom_site_fract_z
_atom_site_occupancy
B1 B 0.000 0.000 0.000 1
B2 B 0.012 0.000 0.400 1
B3 B 0.338 0.000 0.099 1
B4 B 0.353 0.000 0.445 1
C1 C 0.346 0.000 0.769 1
# - E_form: 1.3 eV per formula unit
# - Theoretical density: 2.79 g cm⁻³

***

No. 7
# NaCrAg2S | Alexandria via LeMat-Bulk | PBE-GGA | relaxed
data_NaCrAg2S
_cell_length_a 4.991
_cell_length_b 4.991
_cell_length_c 5.428
_cell_angle_alpha 90.00
_cell_angle_beta 90.00
_cell_angle_gamma 90.00
_symmetry_space_group_name_H-M 'P 4/m m m'
_symmetry_Int_Tables_number 123
_symmetry_space_group_name_Hall '-P 4 2'
loop_
_atom_site_label
_atom_site_type_symbol
_atom_site_fract_x
_atom_site_fract_y
_atom_site_fract_z
_atom_site_occupancy
Na1 Na 0.000 0.000 0.000 1
Cr1 Cr 0.000 0.000 0.500 1
Ag1 Ag 0.000 0.500 0.500 1
S1 S 0.500 0.500 0.000 1
# - Energy relative to the elements, uncorrected: 22.31 kcal/mol of atoms
# - Theoretical density: 3.96 g cm⁻³

***

No. 8
# ThAgTeO6 | Alexandria via LeMat-Bulk | PBE-GGA | relaxed
data_ThAgTeO6
_cell_length_a 5.074
_cell_length_b 5.074
_cell_length_c 10.308
_cell_angle_alpha 90.00
_cell_angle_beta 90.00
_cell_angle_gamma 90.00
_symmetry_space_group_name_H-M 'P 42 n m'
_symmetry_Int_Tables_number 102
_symmetry_space_group_name_Hall 'P 4n -2n'
loop_
_atom_site_label
_atom_site_type_symbol
_atom_site_fract_x
_atom_site_fract_y
_atom_site_fract_z
_atom_site_occupancy
Th1 Th 0.000 0.000 0.000 1
Ag1 Ag 0.000 0.000 0.321 1
Te1 Te 0.000 0.000 0.660 1
O1 O 0.180 0.180 0.805 1
O2 O 0.184 0.184 0.521 1
O3 O 0.228 0.228 0.155 1
# - Energy relative to the elements, uncorrected: -37.65 kcal/mol of atoms
# - Theoretical density: 7.05 g cm⁻³

***

No. 9
# CaTl2Br2F2 | Alexandria via LeMat-Bulk | PBE-GGA | relaxed
data_CaTl2Br2F2
_cell_length_a 4.591
_cell_length_b 4.591
_cell_length_c 17.550
_cell_angle_alpha 90.00
_cell_angle_beta 90.00
_cell_angle_gamma 90.00
_symmetry_space_group_name_H-M 'I 4/m m m'
_symmetry_Int_Tables_number 139
_symmetry_space_group_name_Hall '-I 4 2'
loop_
_atom_site_label
_atom_site_type_symbol
_atom_site_fract_x
_atom_site_fract_y
_atom_site_fract_z
_atom_site_occupancy
Ca1 Ca 0.000 0.000 0.000 1
Tl1 Tl 0.000 0.000 0.367 1
Br1 Br 0.000 0.000 0.170 1
F1 F 0.000 0.500 0.000 1
# - Energy relative to the elements, uncorrected: -47.90 kcal/mol of atoms
# - Theoretical density: 5.81 g cm⁻³

***

No. 10
# PrNdSCl | Alexandria via LeMat-Bulk | PBE-GGA | relaxed
data_PrNdSCl
_cell_length_a 6.814
_cell_length_b 3.937
_cell_length_c 7.892
_cell_angle_alpha 90.00
_cell_angle_beta 106.66
_cell_angle_gamma 90.00
_symmetry_space_group_name_H-M 'C 1 m 1'
_symmetry_Int_Tables_number 8
_symmetry_space_group_name_Hall 'C -2y'
loop_
_atom_site_label
_atom_site_type_symbol
_atom_site_fract_x
_atom_site_fract_y
_atom_site_fract_z
_atom_site_occupancy
Pr1 Pr 0.000 0.000 0.000 1
Nd1 Nd 0.309 0.500 0.426 1
S1 S 0.404 0.000 0.212 1
Cl1 Cl 0.234 0.000 0.704 1
# - Energy relative to the elements, uncorrected: -38.62 kcal/mol of atoms
# - Theoretical density: 5.77 g cm⁻³

***

No. 11
# Cd2AgGeO4 | Alexandria via LeMat-Bulk | PBE-GGA | relaxed
data_Cd2AgGeO4
_cell_length_a 5.274
_cell_length_b 5.274
_cell_length_c 9.140
_cell_angle_alpha 90.00
_cell_angle_beta 90.00
_cell_angle_gamma 90.00
_symmetry_space_group_name_H-M 'I -4 2 m'
_symmetry_Int_Tables_number 121
_symmetry_space_group_name_Hall 'I -4 2'
loop_
_atom_site_label
_atom_site_type_symbol
_atom_site_fract_x
_atom_site_fract_y
_atom_site_fract_z
_atom_site_occupancy
Cd1 Cd 0.000 0.500 0.250 1
Ag1 Ag 0.000 0.000 0.000 1
Ge1 Ge 0.000 0.000 0.500 1
O1 O 0.198 0.198 0.386 1
# - Energy relative to the elements, uncorrected: -24.00 kcal/mol of atoms
# - Theoretical density: 6.13 g cm⁻³

***

No. 12
# YGa2Rh2 | Alexandria via LeMat-Bulk | PBE-GGA | relaxed
data_YGa2Rh2
_cell_length_a 7.504
_cell_length_b 7.504
_cell_length_c 2.988
_cell_angle_alpha 90.00
_cell_angle_beta 90.00
_cell_angle_gamma 90.00
_symmetry_space_group_name_H-M 'P 4/m b m'
_symmetry_Int_Tables_number 127
_symmetry_space_group_name_Hall '-P 4 2ab'
loop_
_atom_site_label
_atom_site_type_symbol
_atom_site_fract_x
_atom_site_fract_y
_atom_site_fract_z
_atom_site_occupancy
Y1 Y 0.000 0.000 0.000 1
Ga1 Ga 0.149 0.351 0.500 1
Rh1 Rh 0.144 0.644 0.000 1
# - E_form: -3.3 eV per formula unit
# - Theoretical density: 8.57 g cm⁻³

***

No. 13
# H2PdF | Alexandria via LeMat-Bulk | PBE-GGA | relaxed
data_H2PdF
_cell_length_a 3.2101
_cell_length_b 3.2101
_cell_length_c 4.2218
_cell_angle_alpha 90.00
_cell_angle_beta 90.00
_cell_angle_gamma 120.00
_symmetry_space_group_name_H-M 'P 6/m m m'
_symmetry_Int_Tables_number 191
_symmetry_space_group_name_Hall '-P 6 2'
loop_
_atom_site_label
_atom_site_type_symbol
_atom_site_fract_x
_atom_site_fract_y
_atom_site_fract_z
_atom_site_occupancy
H1 H 0.3333 0.6667 0.0000 1
Pd1 Pd 0.0000 0.0000 0.0000 1
F1 F 0.0000 0.0000 0.5000 1
# - Calculated total energy: -0.1391 Ha/atom
# - Theoretical density: 5.62 g cm⁻³

***

No. 14
# FeCu2Hg | Alexandria via LeMat-Bulk | PBE-GGA | relaxed
data_FeCu2Hg
_cell_length_a 6.138
_cell_length_b 6.138
_cell_length_c 6.138
_cell_angle_alpha 90.00
_cell_angle_beta 90.00
_cell_angle_gamma 90.00
_symmetry_space_group_name_H-M 'F m -3 m'
_symmetry_Int_Tables_number 225
_symmetry_space_group_name_Hall '-F 4 2 3'
loop_
_atom_site_label
_atom_site_type_symbol
_atom_site_fract_x
_atom_site_fract_y
_atom_site_fract_z
_atom_site_occupancy
Fe1 Fe 0.000 0.000 0.000 1
Cu1 Cu 0.250 0.250 0.250 1
Hg1 Hg 0.000 0.000 0.500 1
# - E_form: 1.3 eV per formula unit
# - Theoretical density: 11.02 g cm⁻³

***

No. 15
# MnCoMo2P | Alexandria via LeMat-Bulk | PBE-GGA | relaxed
data_MnCoMo2P
_cell_length_a 4.452
_cell_length_b 4.452
_cell_length_c 4.064
_cell_angle_alpha 90.00
_cell_angle_beta 90.00
_cell_angle_gamma 90.00
_symmetry_space_group_name_H-M 'P 4/m m m'
_symmetry_Int_Tables_number 123
_symmetry_space_group_name_Hall '-P 4 2'
loop_
_atom_site_label
_atom_site_type_symbol
_atom_site_fract_x
_atom_site_fract_y
_atom_site_fract_z
_atom_site_occupancy
Mn1 Mn 0.000 0.000 0.000 1
Co1 Co 0.500 0.500 0.500 1
Mo1 Mo 0.000 0.500 0.000 1
P1 P 0.000 0.000 0.500 1
# - E_form: 5.7 eV per formula unit
# - Theoretical density: 6.94 g cm⁻³

***

No. 16
# Pr2ScAlPd6 | Alexandria via LeMat-Bulk | PBE-GGA | relaxed
data_Pr2ScAlPd6
_cell_length_a 5.554
_cell_length_b 6.481
_cell_length_c 6.777
_cell_angle_alpha 111.00
_cell_angle_beta 101.24
_cell_angle_gamma 107.80
_symmetry_space_group_name_H-M 'P -1'
_symmetry_Int_Tables_number 2
_symmetry_space_group_name_Hall '-P 1'
loop_
_atom_site_label
_atom_site_type_symbol
_atom_site_fract_x
_atom_site_fract_y
_atom_site_fract_z
_atom_site_occupancy
Pr1 Pr 0.014 0.150 0.306 1
Sc1 Sc 0.500 0.500 0.000 1
Al1 Al 0.500 0.000 0.500 1
Pd1 Pd 0.034 0.618 0.244 1
Pd2 Pd 0.355 0.860 0.081 1
Pd3 Pd 0.408 0.644 0.650 1
# - E_form: -7.0 eV per formula unit
# - Theoretical density: 8.09 g cm⁻³

***

No. 17
# La2NdY2Tm2 | Alexandria via LeMat-Bulk | PBE-GGA | relaxed
data_La2NdY2Tm2
_cell_length_a 11.397
_cell_length_b 5.115
_cell_length_c 8.123
_cell_angle_alpha 90.00
_cell_angle_beta 98.35
_cell_angle_gamma 90.00
_symmetry_space_group_name_H-M 'C 1 2/m 1'
_symmetry_Int_Tables_number 12
_symmetry_space_group_name_Hall '-C 2y'
loop_
_atom_site_label
_atom_site_type_symbol
_atom_site_fract_x
_atom_site_fract_y
_atom_site_fract_z
_atom_site_occupancy
La1 La 0.144 0.000 0.427 1
Nd1 Nd 0.000 0.000 0.000 1
Y1 Y 0.071 0.500 0.720 1
Tm1 Tm 0.216 0.500 0.138 1
# - E_form: 0.2 eV per formula unit
# - Theoretical density: 6.65 g cm⁻³

***

No. 18
# LiGdHoAl | Alexandria via LeMat-Bulk | PBE-GGA | relaxed
data_LiGdHoAl
_cell_length_a 7.307
_cell_length_b 7.307
_cell_length_c 7.307
_cell_angle_alpha 90.00
_cell_angle_beta 90.00
_cell_angle_gamma 90.00
_symmetry_space_group_name_H-M 'F -4 3 m'
_symmetry_Int_Tables_number 216
_symmetry_space_group_name_Hall 'F -4 2 3'
loop_
_atom_site_label
_atom_site_type_symbol
_atom_site_fract_x
_atom_site_fract_y
_atom_site_fract_z
_atom_site_occupancy
Li1 Li 0.000 0.000 0.000 1
Gd1 Gd 0.250 0.250 0.750 1
Ho1 Ho 0.250 0.250 0.250 1
Al1 Al 0.000 0.000 0.500 1
# - E_form: -0.8 eV per formula unit
# - Theoretical density: 6.06 g cm⁻³

***

No. 19
# ThZnH6Ru2 | Alexandria via LeMat-Bulk | PBE-GGA | relaxed
data_ThZnH6Ru2
_cell_length_a 4.5481
_cell_length_b 4.5481
_cell_length_c 15.6246
_cell_angle_alpha 90.00
_cell_angle_beta 90.00
_cell_angle_gamma 120.00
_symmetry_space_group_name_H-M 'R -3 m'
_symmetry_Int_Tables_number 166
_symmetry_space_group_name_Hall '-R 3 2"'
loop_
_atom_site_label
_atom_site_type_symbol
_atom_site_fract_x
_atom_site_fract_y
_atom_site_fract_z
_atom_site_occupancy
Th1 Th 0.0000 0.0000 0.0000 1
Zn1 Zn 0.0000 0.0000 0.5000 1
H1 H 0.0107 0.5054 0.9393 1
Ru1 Ru 0.0000 0.0000 0.2024 1
# - Calculated total energy: -0.1828 Ha/atom
# - Theoretical density: 9.00 g cm⁻³

***

No. 20
# Hf4BeGa | Alexandria via LeMat-Bulk | PBE-GGA | relaxed
data_Hf4BeGa
_cell_length_a 6.487
_cell_length_b 6.487
_cell_length_c 5.375
_cell_angle_alpha 90.00
_cell_angle_beta 90.00
_cell_angle_gamma 90.00
_symmetry_space_group_name_H-M 'P 4/m c c'
_symmetry_Int_Tables_number 124
_symmetry_space_group_name_Hall '-P 4 2c'
loop_
_atom_site_label
_atom_site_type_symbol
_atom_site_fract_x
_atom_site_fract_y
_atom_site_fract_z
_atom_site_occupancy
Hf1 Hf 0.149 0.330 0.000 1
Be1 Be 0.000 0.000 0.250 1
Ga1 Ga 0.500 0.500 0.250 1
# - E_form: -1.2 eV per formula unit
# - Theoretical density: 11.64 g cm⁻³